Record 1
## LaZn2Ni5 (GGA-PBE)

Data for a relaxed LaZn2Ni5 crystal.

Calculated values
The value obtained for the magnetization is 0.00 Bohr magnetons per cell. As for the final energy: -4.71 eV/atom. As for the crystal system: orthorhombic. The theoretical density comes out at 7.83 g/cm3.

Cell: 3.7849 6.4016 9.8534 Å, 90.00 90.00 90.00°
Last column: nearest neighbours and their distance in Å.
Space group Immm (No. 71)
Asymmetric unit:
La (0.0000, 0.0000, 0.0000) (multiplicity 2)  10 Ni 3.02-3.20, 4 Zn 3.20
Zn (0.0000, 0.5000, 0.2381) (multiplicity 4)  7 Ni 2.35-2.49
Ni (0.0000, 0.1884, 0.3726) (multiplicity 8)  3 Zn 2.39-2.49, 4 Ni 2.41-2.57
Ni (0.0000, 0.5000, 0.0000) (multiplicity 2)  2 Zn 2.35, 8 Ni 2.57

=====

Record 2
## AcNdPt2 (GGA-PBE)

Data for a relaxed AcNdPt2 crystal.

Calculated values
The value obtained for the magnetization is 0.00 Bohr magnetons per cell. For the energy above the most stable polymorph in this dataset, the calculation gives 0.129 eV per atom. As for the crystal system: trigonal. The theoretical density comes out at 12.02 g/cm3.

Cell: 4.9326 4.9326 14.9724 Å, 90.00 90.00 120.00°
Last column: nearest neighbours and their distance in Å.
Space group R-3m (No. 166, hexagonal axes)
Asymmetric unit:
Ac (0.0000, 0.0000, 0.0000) (multiplicity 3)  8 Pt 3.28-3.37
Nd (0.0000, 0.0000, 0.5000) (multiplicity 3)  6 Pt 2.98
Pt (0.0000, 0.0000, 0.2252) (multiplicity 6)  3 Nd 2.98, 3 Ac 3.28

=====

Record 3
## MnGaMoP (GGA-PBE)

Data for a relaxed MnGaMoP crystal.

Calculated values
The value obtained for the magnetization is 0.31 Bohr magnetons per cell. For the energy above the most stable polymorph in this dataset, the calculation gives 0.097 eV per atom. As for the crystal system: orthorhombic. The theoretical density comes out at 7.55 g/cm3.

Cell: 2.8579 3.4308 5.6451 Å, 90.00 90.00 90.00°
Last column: nearest neighbours and their distance in Å.
Space group Pmm2 (No. 25)
Asymmetric unit:
Mn (0.0000, 0.0000, 0.0000) (multiplicity 1)  4 P 2.34, 2 Ga 2.50
Ga (0.0000, 0.5000, 0.3217) (multiplicity 1)  2 Mn 2.50, 4 Mo 2.64
Mo (0.5000, 0.0000, 0.5719) (multiplicity 1)  2 P 2.43, 4 Ga 2.64
P (0.5000, 0.5000, 0.8764) (multiplicity 1)  4 Mn 2.34, 2 Mo 2.43

=====

Record 4
## Li2CaNdPd2 (GGA-PBE)

Data for a relaxed Li2CaNdPd2 crystal.

Calculated values
The value obtained for the magnetization is 0.00 Bohr magnetons per cell. As for the final energy: -3.97 eV/atom. As for the crystal system: trigonal. The theoretical density comes out at 5.30 g/cm3.

Cell: 4.3987 4.3987 7.6833 Å, 90.00 90.00 120.00°
Last column: nearest neighbours and their distance in Å.
Space group P-3m1 (No. 164)
Asymmetric unit:
Li (0.3333, 0.6667, 0.2316) (multiplicity 2)  3 Pd 2.55
Ca (0.0000, 0.0000, 0.0000) (multiplicity 1)  6 Li 3.10, 6 Pd 3.24
Nd (0.0000, 0.0000, 0.5000) (multiplicity 1)  6 Pd 3.13, 6 Li 3.27
Pd (0.3333, 0.6667, 0.7380) (multiplicity 2)  3 Li 2.55

=====

Record 5
## YTcGeSb2 (GGA-PBE)

Data for a relaxed YTcGeSb2 crystal.

Calculated values
The value obtained for the magnetization is 0.86 Bohr magnetons per cell. As for the uncorrected formation energy: 2.2 eV per formula unit. As for the crystal system: tetragonal. The theoretical density comes out at 6.40 g/cm3.

Cell: 5.3311 5.3311 4.5962 Å, 90.00 90.00 90.00°
Last column: nearest neighbours and their distance in Å.
Space group P4/mmm (No. 123)
Asymmetric unit:
Y (0.0000, 0.0000, 0.0000) (multiplicity 1)  8 Sb 3.52, 4 Tc 3.77
Tc (0.5000, 0.5000, 0.0000) (multiplicity 1)  2 Ge 2.30
Ge (0.5000, 0.5000, 0.5000) (multiplicity 1)  2 Tc 2.30
Sb (0.0000, 0.5000, 0.5000) (multiplicity 2)  2 Ge 2.67

=====

Record 6
## CsReW3 (GGA-PBE)

Data for a relaxed CsReW3 crystal.

Calculated values
The value obtained for the magnetization is 0.00 Bohr magnetons per cell. For the energy above the most stable polymorph in this dataset, the calculation gives 2.040 eV per atom. As for the crystal system: cubic. The theoretical density comes out at 13.01 g/cm3.

Cell: 4.8080 4.8080 4.8080 Å, 90.00 90.00 90.00°
Last column: nearest neighbours and their distance in Å.
Space group Pm-3m (No. 221)
Asymmetric unit:
Cs (0.0000, 0.0000, 0.0000) (multiplicity 1)  6 W 2.40
Re (0.5000, 0.5000, 0.5000) (multiplicity 1)  12 W 3.40
W (0.0000, 0.0000, 0.5000) (multiplicity 3)  2 Cs 2.40

=====

Record 7
## TbNdAl2Si (GGA-PBE)

Data for a relaxed TbNdAl2Si crystal.

Calculated values
The value obtained for the magnetization is 0.00 Bohr magnetons per cell. As for the uncorrected formation energy: -2.2 eV per formula unit. As for the crystal system: orthorhombic. The theoretical density comes out at 5.46 g/cm3.

Cell: 4.3508 4.4102 12.2126 Å, 90.00 90.00 90.00°
Last column: nearest neighbours and their distance in Å.
Space group Imm2 (No. 44)
Asymmetric unit:
Tb (0.0000, 0.0000, 0.0000) (multiplicity 2)  2 Si 2.81, 6 Al 2.90-3.10
Nd (0.0000, 0.5000, 0.2419) (multiplicity 2)  4 Si 3.31, 4 Al 3.35, 2 Tb 3.69
Al (0.0000, 0.0000, 0.4917) (multiplicity 2)  2 Al 2.81, 2 Si 2.90, 4 Tb 3.10
Al (0.0000, 0.5000, 0.8463) (multiplicity 2)  1 Si 2.45
Si (0.0000, 0.5000, 0.6458) (multiplicity 2)  1 Al 2.45

=====

Record 8
## Tb4GePd (GGA-PBE)

Data for a relaxed Tb4GePd crystal.

Calculated values
The value obtained for the magnetization is 0.00 Bohr magnetons per cell. As for the final energy: -5.12 eV/atom. As for the crystal system: orthorhombic. The theoretical density comes out at 8.06 g/cm3.

Cell: 5.2275 20.6231 6.2279 Å, 90.00 90.00 90.00°
Last column: nearest neighbours and their distance in Å.
Space group Cmc2_1 (No. 36)
Asymmetric unit:
Tb (0.0000, 0.0557, 0.0000) (multiplicity 4)  1 Pd 2.76
Tb (0.0000, 0.1966, 0.2586) (multiplicity 4)  1 Pd 2.89, 2 Tb 3.04-3.21, 2 Ge 3.12
Tb (0.0000, 0.2085, 0.7728) (multiplicity 4)  4 Tb 3.04-3.27, 1 Pd 3.15, 3 Ge 3.18-3.19
Tb (0.0000, 0.3857, 0.0293) (multiplicity 4)  2 Pd 2.72
Ge (0.0000, 0.3415, 0.5147) (multiplicity 4)  10 Tb 3.12-3.39
Pd (0.0000, 0.0783, 0.5079) (multiplicity 4)  4 Tb 2.72-2.89

=====

Record 9
## SrHgSb (GGA-PBE)

Data for a relaxed SrHgSb crystal.

Calculated values
The value obtained for the magnetization is 0.00 Bohr magnetons per cell. For the energy above the most stable polymorph in this dataset, the calculation gives 0.018 eV per atom. As for the uncorrected formation energy: -1.9 eV per formula unit. As for the crystal system: orthorhombic. The theoretical density comes out at 7.32 g/cm3.

Cell: 8.1080 4.6447 9.8715 Å, 90.00 90.00 90.00°
Last column: nearest neighbours and their distance in Å.
Space group Pnma (No. 62)
Asymmetric unit:
Sr (0.0291, 0.2500, 0.1980) (multiplicity 4)  5 Sb 3.44-3.52, 4 Hg 3.49-3.59
Hg (0.1612, 0.2500, 0.5886) (multiplicity 4)  4 Sb 3.04-3.26
Sb (0.2405, 0.7500, 0.4013) (multiplicity 4)  4 Hg 3.04-3.26

=====

Record 10
## LuZrOs (GGA-PBE)

Data for a relaxed LuZrOs crystal.

Calculated values
The value obtained for the magnetization is 0.00 Bohr magnetons per cell. For the energy above the most stable polymorph in this dataset, the calculation gives 0.000 eV per atom. As for the crystal system: cubic. The theoretical density comes out at 10.91 g/cm3.

Cell: 6.5252 6.5252 6.5252 Å, 90.00 90.00 90.00°
Last column: nearest neighbours and their distance in Å.
Space group F-43m (No. 216)
Asymmetric unit:
Lu (0.0000, 0.0000, 0.0000) (multiplicity 4)  4 Os 2.83
Zr (0.0000, 0.0000, 0.5000) (multiplicity 4)  4 Os 2.83
Os (0.2500, 0.2500, 0.2500) (multiplicity 4)  4 Zr 2.83, 4 Lu 2.83

=====

Record 11
## Be2Zn2Au7 (GGA-PBE)

Data for a relaxed Be2Zn2Au7 crystal.

Calculated values
The value obtained for the magnetization is 0.00 Bohr magnetons per cell. For the energy above the most stable polymorph in this dataset, the calculation gives 0.000 eV per atom. As for the crystal system: monoclinic. The theoretical density comes out at 13.68 g/cm3.

Cell: 5.0403 8.0537 9.2317 Å, 90.00 98.31 90.00°
Last column: nearest neighbours and their distance in Å.
Space group C2/m (No. 12)
Asymmetric unit:
Be (0.0000, 0.2478, 0.0000) (multiplicity 4)  8 Au 2.48-2.61, 2 Be 2.52
Zn (0.0414, 0.0000, 0.6353) (multiplicity 4)  1 Zn 2.47, 1 Au 2.63
Au (0.0000, 0.5000, 0.5000) (multiplicity 2)  4 Zn 2.78-2.83, 4 Au 2.86
Au (0.1624, 0.3228, 0.7664) (multiplicity 8)  2 Be 2.49-2.61, 2 Au 2.78
Au (0.2288, 0.0000, 0.9159) (multiplicity 4)  4 Be 2.48-2.51, 1 Zn 2.63

=====

Record 12
## KCr2Rh (GGA-PBE)

Data for a relaxed KCr2Rh crystal.

Calculated values
The value obtained for the magnetization is 3.53 Bohr magnetons per cell. For the energy above the most stable polymorph in this dataset, the calculation gives 0.648 eV per atom. As for the crystal system: orthorhombic. The theoretical density comes out at 5.81 g/cm3.

Cell: 2.6390 5.1496 10.3536 Å, 90.00 90.00 90.00°
Last column: nearest neighbours and their distance in Å.
Space group Immm (No. 71)
Asymmetric unit:
K (0.0000, 0.0000, 0.0000) (multiplicity 2)  2 K 2.64, 4 Rh 2.89
Cr (0.0000, 0.5000, 0.2083) (multiplicity 4)  2 Rh 2.53, 2 Cr 2.64
Rh (0.0000, 0.0000, 0.5000) (multiplicity 2)  4 Cr 2.53, 2 Rh 2.64

=====

Record 13
## Ce2NdHo (GGA-PBE)

Data for a relaxed Ce2NdHo crystal.

Calculated values
The value obtained for the magnetization is 3.79 Bohr magnetons per cell. For the energy above the most stable polymorph in this dataset, the calculation gives 0.000 eV per atom. As for the crystal system: trigonal. The theoretical density comes out at 7.89 g/cm3.

Cell: 3.5041 3.5041 34.9746 Å, 90.00 90.00 120.00°
Last column: nearest neighbours and their distance in Å.
Space group R3m (No. 160, hexagonal axes)
Asymmetric unit:
Ce (0.0000, 0.0000, 0.0000) (multiplicity 3)  3 Ho 3.48, 6 Ce 3.50, 3 Nd 3.55
Ce (0.0000, 0.0000, 0.1696) (multiplicity 3)  6 Ce 3.50, 3 Ho 3.53, 3 Nd 3.64
Nd (0.0000, 0.0000, 0.4166) (multiplicity 3)  6 Nd 3.50, 6 Ce 3.55-3.64
Ho (0.0000, 0.0000, 0.5858) (multiplicity 3)  6 Ce 3.48-3.53, 6 Ho 3.50

=====

Record 14
## NaScCdIn (GGA-PBE)

Data for a relaxed NaScCdIn crystal.

Calculated values
The value obtained for the magnetization is 0.00 Bohr magnetons per cell. As for the final energy: -2.98 eV/atom. As for the crystal system: cubic. The theoretical density comes out at 5.25 g/cm3.

Cell: 7.1993 7.1993 7.1993 Å, 90.00 90.00 90.00°
Last column: nearest neighbours and their distance in Å.
Space group F-43m (No. 216)
Asymmetric unit:
Na (0.0000, 0.0000, 0.0000) (multiplicity 4)  4 Cd 3.12, 4 In 3.12
Sc (0.0000, 0.0000, 0.5000) (multiplicity 4)  4 In 3.12, 4 Cd 3.12
Cd (0.2500, 0.2500, 0.2500) (multiplicity 4)  4 Na 3.12, 4 Sc 3.12
In (0.2500, 0.2500, 0.7500) (multiplicity 4)  4 Na 3.12, 4 Sc 3.12

=====

Record 15
## V12Ga3Ge (GGA-PBE)

Data for a relaxed V12Ga3Ge crystal.

Calculated values
The value obtained for the magnetization is 2.70 Bohr magnetons per cell. As for the final energy: -7.91 eV/atom. As for the crystal system: orthorhombic. The theoretical density comes out at 6.81 g/cm3.

Cell: 4.7770 4.7787 9.5467 Å, 90.00 90.00 90.00°
Last column: nearest neighbours and their distance in Å.
Space group Pmmm (No. 47)
Asymmetric unit:
V (0.0000, 0.0000, 0.1234) (multiplicity 2)  2 V 2.36-2.40
V (0.0000, 0.0000, 0.3746) (multiplicity 2)  2 V 2.39-2.40, 2 Ga 2.67, 2 Ge 2.67
V (0.2495, 0.5000, 0.2514) (multiplicity 4)  2 V 2.38-2.39, 1 Ge 2.66
V (0.5000, 0.2504, 0.0000) (multiplicity 2)  2 V 2.39, 2 Ga 2.67
V (0.5000, 0.2520, 0.5000) (multiplicity 2)  2 V 2.37-2.41
Ga (0.0000, 0.5000, 0.0000) (multiplicity 1)  12 V 2.66-2.68
Ga (0.5000, 0.0000, 0.2505) (multiplicity 2)  12 V 2.67-2.68
Ge (0.0000, 0.5000, 0.5000) (multiplicity 1)  12 V 2.66-2.67

=====

Record 16
## YCo2Ni2 (GGA-PBE)

Data for a relaxed YCo2Ni2 crystal.

Calculated values
The value obtained for the magnetization is 7.44 Bohr magnetons per cell. For the energy above the most stable polymorph in this dataset, the calculation gives 0.187 eV per atom. As for the crystal system: tetragonal. The theoretical density comes out at 7.77 g/cm3.

Cell: 7.0526 7.0526 2.7851 Å, 90.00 90.00 90.00°
Last column: nearest neighbours and their distance in Å.
Space group P4/mbm (No. 127)
Asymmetric unit:
Y (0.0000, 0.0000, 0.0000) (multiplicity 2)  2 Y 2.79, 4 Ni 2.80, 8 Co 2.97
Co (0.1679, 0.3321, 0.5000) (multiplicity 4)  6 Ni 2.50-2.51, 2 Co 2.79
Ni (0.1230, 0.6230, 0.0000) (multiplicity 4)  1 Ni 2.45, 6 Co 2.50-2.51

=====

Record 17
## YSbTe2Br (GGA-PBE)

Data for a relaxed YSbTe2Br crystal.

Calculated values
The value obtained for the magnetization is 0.00 Bohr magnetons per cell. For the energy above the most stable polymorph in this dataset, the calculation gives 0.315 eV per atom. As for the uncorrected formation energy: 1.5 eV per formula unit. As for the crystal system: tetragonal. The theoretical density comes out at 5.40 g/cm3.

Cell: 5.5945 5.5945 5.3617 Å, 90.00 90.00 90.00°
Last column: nearest neighbours and their distance in Å.
Space group P4/mmm (No. 123)
Asymmetric unit:
Y (0.0000, 0.0000, 0.0000) (multiplicity 1)  8 Te 3.87, 4 Sb 3.96
Sb (0.5000, 0.5000, 0.0000) (multiplicity 1)  2 Br 2.68
Te (0.0000, 0.5000, 0.5000) (multiplicity 2)  2 Br 2.80
Br (0.5000, 0.5000, 0.5000) (multiplicity 1)  2 Sb 2.68, 4 Te 2.80

=====

Record 18
## CoNiIr2 (GGA-PBE)

Data for a relaxed CoNiIr2 crystal.

Calculated values
The value obtained for the magnetization is 2.77 Bohr magnetons per cell. For the energy above the most stable polymorph in this dataset, the calculation gives 0.045 eV per atom. As for the crystal system: orthorhombic. The theoretical density comes out at 16.35 g/cm3.

Cell: 5.3012 7.2108 2.6675 Å, 90.00 90.00 90.00°
Last column: nearest neighbours and their distance in Å.
Space group Cmmm (No. 65)
Asymmetric unit:
Co (0.0000, 0.0000, 0.0000) (multiplicity 2)  8 Ir 2.60, 2 Ni 2.65, 2 Co 2.67
Ni (0.0000, 0.5000, 0.0000) (multiplicity 2)  8 Ir 2.60, 2 Co 2.65, 2 Ni 2.67
Ir (0.2500, 0.2500, 0.5000) (multiplicity 4)  4 Co 2.60, 4 Ni 2.60, 4 Ir 2.65-2.67

=====

Record 19
## CuSnTeO6 (GGA-PBE)

Data for a relaxed CuSnTeO6 crystal.

Calculated values
The value obtained for the magnetization is 2.02 Bohr magnetons per cell. As for the uncorrected formation energy: -8.7 eV per formula unit. As for the crystal system: trigonal. The theoretical density comes out at 6.20 g/cm3.

Cell: 5.2809 5.2809 8.9977 Å, 90.00 90.00 120.00°
Last column: nearest neighbours and their distance in Å.
Space group P-31c (No. 163)
Asymmetric unit:
Cu (0.0000, 0.0000, 0.0000) (multiplicity 2)  6 O 2.19
Sn (0.3333, 0.6667, 0.2500) (multiplicity 2)  6 O 2.09
Te (0.3333, 0.6667, 0.7500) (multiplicity 2)  6 O 1.97
O (0.0184, 0.3590, 0.6301) (multiplicity 12)  1 Te 1.97, 1 Sn 2.09, 1 Cu 2.19

=====

Record 20
## TaSnGe3 (GGA-PBE)

Data for a relaxed TaSnGe3 crystal.

Calculated values
The value obtained for the magnetization is 0.00 Bohr magnetons per cell. For the energy above the most stable polymorph in this dataset, the calculation gives 1.211 eV per atom. As for the crystal system: cubic. The theoretical density comes out at 6.57 g/cm3.

Cell: 5.0770 5.0770 5.0770 Å, 90.00 90.00 90.00°
Last column: nearest neighbours and their distance in Å.
Space group Pm-3m (No. 221)
Asymmetric unit:
Ta (0.0000, 0.0000, 0.0000) (multiplicity 1)  12 Ge 3.59
Sn (0.5000, 0.5000, 0.5000) (multiplicity 1)  6 Ge 2.54
Ge (0.0000, 0.5000, 0.5000) (multiplicity 3)  2 Sn 2.54